Record 1
Density functional theory data (PBE) for a relaxed structure of NaPtSeBr2.

Properties
Space group: P4/mmm, No. 123
Magnetic moment: 0.000 μB per atom

a b c (Å): 5.4159 5.4159 4.8063
angles (deg): 90.00 90.00 90.00
Last column: nearest neighbours and their distance in Å.
Sites, in units of the cell vectors:
Na: 0.0000 0.0000 0.0000  8 Br 3.62, 4 Se 3.83
Pt: 0.5000 0.5000 0.5000  2 Se 2.40
Se: 0.5000 0.5000 0.0000  2 Pt 2.40
Br: 0.0000 0.5000 0.5000  2 Pt 2.71
Br: 0.5000 0.0000 0.5000  2 Pt 2.71

***

Record 2
Density functional theory data (PBE) for a relaxed structure of NaPtW2Br.

Properties
Space group: P4/mmm, No. 123
Magnetic moment: 0.000 μB per atom

a b c (Å): 4.6431 4.6431 4.8986
angles (deg): 90.00 90.00 90.00
Last column: nearest neighbours and their distance in Å.
Sites, in units of the cell vectors:
Na: 0.0000 0.0000 0.0000  4 Pt 3.28, 8 W 3.37
Pt: 0.5000 0.5000 0.0000  2 Br 2.45
W: 0.0000 0.5000 0.5000  2 Br 2.32
W: 0.5000 0.0000 0.5000  2 Br 2.32
Br: 0.5000 0.5000 0.5000  4 W 2.32, 2 Pt 2.45

***

Record 3
Density functional theory data (PBE) for a relaxed structure of NaPu3Br8.

Properties
Space group: C2/m, No. 12
Magnetic moment: 1.417 μB per atom

a b c (Å): 8.4163 8.4163 8.4991
angles (deg): 118.10 118.10 62.28
Last column: nearest neighbours and their distance in Å.
Sites, in units of the cell vectors:
Na: 0.0000 0.0000 0.0000  6 Br 3.00
Pu: 0.0000 0.5000 0.5000  6 Br 2.95-2.99
Pu: 0.5000 0.0000 0.5000  6 Br 2.95-2.99
Pu: 0.5000 0.5000 0.0000  6 Br 2.95-2.99
Br: 0.2484 0.2484 0.2638  2 Pu 2.95, 1 Na 3.00
Br: 0.2486 0.7408 0.7561  2 Pu 2.95, 1 Na 3.00
Br: 0.2519 0.2519 0.7435  3 Pu 2.99
Br: 0.2592 0.7514 0.2439  2 Pu 2.95, 1 Na 3.00
Br: 0.7408 0.2486 0.7561  2 Pu 2.95, 1 Na 3.00
Br: 0.7481 0.7481 0.2565  3 Pu 2.99
Br: 0.7514 0.2592 0.2439  2 Pu 2.95, 1 Na 3.00
Br: 0.7516 0.7516 0.7362  2 Pu 2.95, 1 Na 3.00

***

Record 4
Density functional theory data (PBE) for a relaxed structure of Na2Pu2Br7.

Properties
Space group: C2/m, No. 12
Magnetic moment: 1.000 μB per atom

a b c (Å): 7.9543 7.9543 7.8644
angles (deg): 92.71 92.71 108.90
Last column: nearest neighbours and their distance in Å.
Sites, in units of the cell vectors:
Na: 0.2091 0.7909 0.0000  4 Br 2.99-3.02
Na: 0.7909 0.2091 0.0000  4 Br 2.99-3.02
Pu: 0.2148 0.2148 0.6123  5 Br 2.83-2.97
Pu: 0.7852 0.7852 0.3877  5 Br 2.83-2.97
Br: 0.0664 0.4463 0.7877  1 Pu 2.83, 2 Na 2.99-3.02
Br: 0.0800 0.0800 0.2648  2 Pu 2.91-2.97
Br: 0.4463 0.0664 0.7877  1 Pu 2.83, 2 Na 2.99-3.02
Br: 0.5000 0.5000 0.5000  2 Pu 2.85
Br: 0.5537 0.9336 0.2123  1 Pu 2.83, 2 Na 2.99-3.02
Br: 0.9200 0.9200 0.7352  2 Pu 2.91-2.97
Br: 0.9336 0.5537 0.2123  1 Pu 2.83, 2 Na 2.99-3.02

***

| no. | E_tot (eV/atom) |
| --- | --- |
| 1 | -3.22 |
| 2 | -5.10 |
| 3 | -6.34 |
| 4 | -5.37 |